Compound: MgSnS2
Source: Alexandria
Functional: PBE
Structure: optimized geometry

Cell lengths 4.0457, 4.0457, 7.9315 Å; angles 90.00, 90.00, 120.00 degrees
With the nearest neighbours (Å) after each atom.
Positions (direct):
S1 0.6667 0.3333 0.8291  1 Mg 2.60, 3 Sn 2.71
S2 0.0000 0.0000 0.4170  3 Mg 2.43
Mg1 0.6667 0.3333 0.5007  4 S 2.43-2.60
Sn1 0.0000 0.0000 0.0032  3 S 2.71

Computed properties:
Mass density: 3.06 g/cm³
Raw formation energy: -0.77 eV per atom
Space-group type: P3m1 (156)

Compound: MgSnS2
Source: Alexandria
Functional: PBE
Structure: optimized geometry

Cell lengths 7.9438, 7.9438, 7.9438 Å; angles 27.44, 27.44, 27.44 degrees
With the nearest neighbours (Å) after each atom.
Positions (direct):
S1 0.1090 0.1090 0.1090  1 Sn 2.50, 3 Mg 2.54
S2 0.8910 0.8910 0.8910  1 Sn 2.50, 3 Mg 2.54
Mg1 0.5000 0.5000 0.5000  6 S 2.54
Sn1 0.0000 0.0000 0.0000  2 S 2.50

Computed properties:
Mass density: 3.66 g/cm³
Raw formation energy: -0.55 eV per atom
Space-group type: R-3m (166)

Compound: Mg2SnS
Source: Alexandria
Functional: PBE
Structure: optimized geometry

Cell lengths 6.7277, 6.7277, 6.8253 Å; angles 60.47, 60.47, 90.00 degrees
With the nearest neighbours (Å) after each atom.
Positions (direct):
Sn1 0.0000 0.0000 0.0000  4 Mg 2.94
Mg1 0.5663 0.1250 0.2500  2 S 2.45
S1 0.5000 0.5000 0.0000  4 Mg 2.45
Mg2 0.8750 0.8163 0.7500  2 S 2.45
Sn2 0.7500 0.2500 0.5000  4 Mg 2.94
S2 0.2500 0.7500 0.5000  4 Mg 2.45
Mg3 0.3750 0.4337 0.7500  2 S 2.45
Mg4 0.1837 0.6250 0.2500  2 S 2.45

Computed properties:
Mass density: 2.99 g/cm³
Energy above the most stable polymorph in this dataset: 0.289 eV per atom
Raw formation energy: -0.46 eV per atom
Space-group type: I-42d (122)

Compound: SrMgSn2S6
Source: Alexandria
Functional: PBE
Structure: optimized geometry

Cell lengths 7.3858, 9.1499, 9.1499 Å; angles 86.40, 74.91, 74.91 degrees
With the nearest neighbours (Å) after each atom.
Positions (direct):
Mg1 0.2500 0.2140 0.7860  4 S 2.44-2.53
Sr1 0.7500 0.1241 0.8759  6 S 2.96-3.06
S1 0.3348 0.1840 0.0388  1 Sn 2.42, 1 Mg 2.53
Sr2 0.2500 0.8759 0.1241  6 S 2.96-3.06
S2 0.4693 0.4431 0.3060  2 Sn 2.45-2.48
Mg2 0.7500 0.7860 0.2140  4 S 2.44-2.53
Sn1 0.3003 0.7724 0.6171  4 S 2.39-2.48
S3 0.0307 0.6940 0.5569  2 Sn 2.45-2.48
S4 0.0737 0.6208 0.1203  1 Sn 2.39, 1 Mg 2.44
Sn2 0.8003 0.6171 0.7724  4 S 2.39-2.48
S5 0.1652 0.9612 0.8160  1 Sn 2.42, 1 Mg 2.53
S6 0.5737 0.1203 0.6208  1 Sn 2.39, 1 Mg 2.44
S7 0.9693 0.3060 0.4431  2 Sn 2.45-2.48
S8 0.9263 0.3792 0.8797  1 Sn 2.39, 1 Mg 2.44
S9 0.8348 0.0388 0.1840  1 Sn 2.42, 1 Mg 2.53
Sn3 0.1997 0.3829 0.2276  4 S 2.39-2.48
Sn4 0.6997 0.2276 0.3829  4 S 2.39-2.48
S10 0.5307 0.5569 0.6940  2 Sn 2.45-2.48
S11 0.4263 0.8797 0.3792  1 Sn 2.39, 1 Mg 2.44
S12 0.6652 0.8160 0.9612  1 Sn 2.42, 1 Mg 2.53

Computed properties:
Mass density: 3.12 g/cm³
Raw formation energy: -0.86 eV per atom
Space-group type: C2/c (15)

Compound: Mg2Tl3SnS6
Source: Alexandria
Functional: PBE
Structure: optimized geometry

Cell lengths 6.7202, 6.7202, 7.4528 Å; angles 98.67, 98.67, 120.05 degrees
With the nearest neighbours (Å) after each atom.
Positions (direct):
Tl1 0.8307 0.1693 0.5000  6 S 3.10-3.13
Tl2 0.1693 0.8307 0.5000  6 S 3.10-3.13
Mg1 0.3344 0.6656 0.0000  6 S 2.63-2.66
S1 0.7380 0.7380 0.1998  1 Sn 2.63, 2 Mg 2.66
Sn1 0.0000 0.0000 0.0000  6 S 2.60-2.63
Tl3 0.5000 0.5000 0.5000  6 S 3.11-3.12
S2 0.9337 0.6059 0.8066  1 Sn 2.60, 2 Mg 2.63-2.66
S3 0.6059 0.9337 0.8066  1 Sn 2.60, 2 Mg 2.63-2.66
S4 0.3941 0.0663 0.1934  1 Sn 2.60, 2 Mg 2.63-2.66
S5 0.2620 0.2620 0.8002  1 Sn 2.63, 2 Mg 2.66
Mg2 0.6656 0.3344 0.0000  6 S 2.63-2.66
S6 0.0663 0.3941 0.1934  1 Sn 2.60, 2 Mg 2.63-2.66

Computed properties:
Mass density: 5.82 g/cm³
Raw formation energy: -0.67 eV per atom
Space-group type: C2/m (12)

Compound: Mg2SnWS
Source: Alexandria
Functional: PBE
Structure: optimized geometry

Cell lengths 4.5763, 5.4930, 4.5763 Å; angles 90.00, 90.00, 90.00 degrees
With the nearest neighbours (Å) after each atom.
Positions (direct):
W1 0.5000 0.5000 0.5000  4 Sn 3.24, 8 Mg 3.57
S1 0.0000 0.0000 0.0000  4 Mg 2.29
Sn1 0.0000 0.5000 0.0000  2 S 2.75
Mg1 0.5000 0.0000 0.0000  2 S 2.29
Mg2 0.0000 0.0000 0.5000  2 S 2.29

Computed properties:
Mass density: 5.53 g/cm³
Raw formation energy: 0.74 eV per atom
Space-group type: P4/mmm (123)

Compound: Sr2MgS2
Source: Alexandria
Functional: PBE
Structure: optimized geometry

Cell lengths 5.9001, 5.9001, 6.8129 Å; angles 64.34, 64.34, 90.00 degrees
With the nearest neighbours (Å) after each atom.
Positions (direct):
S1 0.2280 0.2280 0.5439  1 Mg 2.46
Sr1 0.2500 0.7500 0.5000  4 S 2.96
Sr2 0.7500 0.2500 0.5000  4 S 2.96
Mg1 0.0000 0.0000 0.0000  2 S 2.46
S2 0.7720 0.7720 0.4561  1 Mg 2.46

Computed properties:
Mass density: 2.34 g/cm³
Energy above the most stable polymorph in this dataset: 0.231 eV per atom
Raw formation energy: -1.20 eV per atom
Space-group type: I4/mmm (139)

Compound: SrMgS2
Source: Alexandria
Functional: PBE
Structure: optimized geometry

Cell lengths 7.9501, 7.9501, 7.9501 Å; angles 33.33, 33.33, 33.33 degrees
With the nearest neighbours (Å) after each atom.
Positions (direct):
Mg1 0.0000 0.0000 0.0000  2 S 2.26
S1 0.8996 0.8996 0.8996  1 Mg 2.26
Sr1 0.5000 0.5000 0.5000  6 S 3.03
S2 0.1004 0.1004 0.1004  1 Mg 2.26

Computed properties:
Mass density: 2.16 g/cm³
Raw formation energy: -1.36 eV per atom
Space-group type: R-3m (166)

Compound: Sr2MgS
Source: Alexandria
Functional: PBE
Structure: optimized geometry

Cell lengths 8.5589, 8.5589, 7.3483 Å; angles 54.38, 54.38, 90.00 degrees
With the nearest neighbours (Å) after each atom.
Positions (direct):
S1 0.7500 0.2500 0.5000  4 Sr 2.87
Mg1 0.5000 0.5000 0.0000  4 Sr 3.59
Sr1 0.0617 0.6250 0.2500  2 S 2.87
Sr2 0.3750 0.3117 0.7500  2 S 2.87
Mg2 0.2500 0.7500 0.5000  4 Sr 3.59
Sr3 0.6883 0.1250 0.2500  2 S 2.87
Sr4 0.8750 0.9383 0.7500  2 S 2.87
S2 0.0000 0.0000 0.0000  4 Sr 2.87

Computed properties:
Mass density: 2.52 g/cm³
Energy above the most stable polymorph in this dataset: 0.000 eV per atom
Raw formation energy: -0.74 eV per atom
Space-group type: I-42d (122)

Compound: SrMgS2
Source: Alexandria
Functional: PBE
Structure: optimized geometry

Cell lengths 3.9235, 3.9235, 7.1314 Å; angles 74.03, 74.03, 60.00 degrees
With the nearest neighbours (Å) after each atom.
Positions (direct):
Mg1 0.6682 0.6682 0.9955  6 S 2.67-2.71
S1 0.2618 0.2618 0.2145  3 Mg 2.71, 3 Sr 3.00
Sr1 0.4986 0.4986 0.5043  6 S 2.96-3.00
S2 0.0714 0.0714 0.7857  3 Mg 2.67, 3 Sr 2.96

Computed properties:
Mass density: 3.24 g/cm³
Raw formation energy: -1.66 eV per atom
Space-group type: R3m (160)

Compound: Sr2MgS2
Source: Alexandria
Functional: PBE
Structure: optimized geometry

Cell lengths 8.0060, 8.0060, 3.9568 Å; angles 90.00, 90.00, 90.00 degrees
With the nearest neighbours (Å) after each atom.
Positions (direct):
S1 0.8455 0.6545 0.0000  6 Sr 2.93-3.17, 2 Mg 3.03
S2 0.6545 0.1545 0.0000  6 Sr 2.93-3.17, 2 Mg 3.03
Mg1 0.5000 0.5000 0.0000  4 S 3.03
Sr1 0.1546 0.6546 0.5000  6 S 2.93-3.17
S3 0.3455 0.8455 0.0000  6 Sr 2.93-3.17, 2 Mg 3.03
Sr2 0.8454 0.3454 0.5000  6 S 2.93-3.17
Sr3 0.6546 0.8454 0.5000  6 S 2.93-3.17
S4 0.1545 0.3455 0.0000  6 Sr 2.93-3.17, 2 Mg 3.03
Mg2 0.0000 0.0000 0.0000  4 S 3.03
Sr4 0.3454 0.1546 0.5000  6 S 2.93-3.17

Computed properties:
Mass density: 3.45 g/cm³
Energy above the most stable polymorph in this dataset: 0.000 eV per atom
Raw formation energy: -1.43 eV per atom
Space-group type: P4/mbm (127)

Compound: Sr2MgS
Source: Alexandria
Functional: PBE
Structure: optimized geometry

Cell lengths 5.6401, 5.6401, 5.6401 Å; angles 60.00, 60.00, 60.00 degrees
With the nearest neighbours (Å) after each atom.
Positions (direct):
Sr1 0.7500 0.7500 0.7500  4 S 3.45, 4 Mg 3.45
Sr2 0.2500 0.2500 0.2500  4 S 3.45, 4 Mg 3.45
Mg1 0.0000 0.0000 0.0000  8 Sr 3.45
S1 0.5000 0.5000 0.5000  8 Sr 3.45

Computed properties:
Mass density: 3.03 g/cm³
Energy above the most stable polymorph in this dataset: 0.278 eV per atom
Raw formation energy: -0.46 eV per atom
Space-group type: Fm-3m (225)